# MoI3BrCl

A relaxed MoI3BrCl crystal (GGA-PBE, OQMD).

ΔE to the lowest computed polymorph, meV/atom: 0.7
Calculated density, kg/m³: 4589
Total energy, eV/atom: -3.47

Cell lengths 6.997, 7.541, 10.021 Å; angles 110.78, 91.01, 117.39 degrees
Space group P-1 (No. 2)
One atom of each set of equivalent atoms:
Mo  0.104  0.209  0.209 (multiplicity 2)
I  0.068  0.812  0.562 (multiplicity 2)
I  0.130  0.619  0.853 (multiplicity 2)
I  0.322  0.008  0.245 (multiplicity 2)
Br  0.437  0.568  0.322 (multiplicity 2)
Cl  0.207  0.162  0.961 (multiplicity 2)